Record 1
EuZrTlAg: optimized geometry, PBE.

Volume (Å³/f.u.): 100.2
Electronic total energy (eV per atom): -6.042
ΔH_f (0 K) (kJ/mol of atoms): -3.1

abc: 5.214 5.214 5.214
angles: 60.00 60.00 60.00
Site moments in Bohr magnetons follow the coordinates.
Element x y z (fractional)
Eu  0.750  0.750  0.750  6.82
Tl  0.500  0.500  0.500  -0.01
Zr  0.250  0.250  0.250  0.44
Ag  0.000  0.000  0.000  0.02



Record 2
Eu2TmAg: optimized geometry, PBE.

Volume (Å³/f.u.): 132.0
Electronic total energy (eV per atom): -6.699
ΔH_f (0 K) (kJ/mol of atoms): 26.0
Energy above the lowest structure with this stoichiometry (eV per formula unit): 1.30

abc: 3.557 3.557 12.219
angles: 81.63 81.63 60.00
Site moments in Bohr magnetons follow the coordinates.
Element x y z (fractional)
Eu  0.084  0.084  0.749  7.02
Eu  0.916  0.916  0.251  7.02
Tm  0.500  0.500  0.500  0.14
Ag  0.000  0.000  0.000  -0.01